4
Lattice="4.375 0.000 0.000 2.187 3.789 0.000 2.187 1.263 7.364" Properties=species:S:1:pos:R:3 comment="NdAgTe2 | the Alexandria database | PBE | relaxed" formation_energy_uncorrected_mev_per_atom=-815 e_tot_ev_per_atom=-4.291 sg="No. 160" pbc="T T T"
Nd 4.375 2.526 3.666
Te 2.187 1.263 1.714
Te 2.187 1.263 5.663
Ag 4.375 2.526 0.004

15
Lattice="7.033 0.000 3.508 2.641 6.518 3.508 0.002 0.001 8.799" Properties=species:S:1:pos:R:3 comment="NdAg8Te6 | the Alexandria database | PBE | relaxed" formation_energy_uncorrected_mev_per_atom=-283 e_tot_ev_per_atom=-3.379 sg="No. 148" dos_at_fermi_per_ev_atom=0.392 pbc="T T T"
Ag 7.164 2.388 9.564
Ag 6.668 5.455 8.770
Ag 6.201 0.777 6.965
Ag 3.008 1.065 7.046
Ag 4.191 2.824 9.206
Ag 3.476 5.743 8.851
Ag 2.512 4.131 6.252
Ag 5.486 3.696 6.610
Te 4.384 6.252 6.172
Te 5.017 4.805 11.031
Te 4.660 1.715 4.785
Te 8.235 3.675 7.227
Te 5.293 0.268 9.644
Te 1.442 2.845 8.589
Nd 0.000 0.000 0.000

11
Lattice="4.538 0.000 0.000 2.269 3.930 0.000 2.269 1.310 19.065" Properties=species:S:1:pos:R:3 comment="Nd2Ag4Te5 | the Alexandria database | PBE | relaxed" formation_energy_uncorrected_mev_per_atom=-574 e_tot_ev_per_atom=-3.905 sg="No. 166" dos_at_fermi_per_ev_atom=0.504 pbc="T T T"
Te 4.538 2.620 1.936
Te 4.538 2.620 17.128
Te 2.269 1.310 5.843
Te 6.807 3.930 13.221
Te 4.538 2.620 9.532
Ag 4.538 2.620 14.384
Ag 2.269 1.310 1.071
Ag 4.538 2.620 4.681
Ag 6.807 3.930 17.993
Nd 6.807 3.930 7.684
Nd 2.269 1.310 11.381

14
Lattice="8.258 -0.028 0.048 -2.820 7.761 -0.048 -2.617 -3.938 6.770" Properties=species:S:1:pos:R:3 comment="Nd5AgTe8 | the Alexandria database | PBE | relaxed" formation_energy_uncorrected_mev_per_atom=-1276 e_tot_ev_per_atom=-4.978 sg="No. 82" pbc="T T T"
Nd 2.820 -1.983 3.409
Nd 0.076 -2.981 6.727
Nd 2.810 2.344 4.307
Nd -1.321 2.388 0.854
Nd 4.076 5.840 1.653
Ag -1.309 0.920 5.066
Te -2.526 3.853 3.444
Te -1.030 5.690 0.117
Te 0.265 3.452 5.833
Te 1.863 -0.414 6.001
Te 1.683 3.699 1.647
Te 5.864 -1.983 4.937
Te 4.621 0.453 2.449
Te 0.541 0.432 2.654

12
Lattice="-5.672 5.210 -0.958 0.321 -4.253 6.484 5.962 4.791 1.291" Properties=species:S:1:pos:R:3 comment="Nd6AgTe5 | the Alexandria database | PBE | relaxed" formation_energy_uncorrected_mev_per_atom=-1237 e_tot_ev_per_atom=-5.168 sg="No. 12" dos_at_fermi_per_ev_atom=0.499 pbc="T T T"
Ag 0.000 0.000 0.000
Te -3.662 2.036 1.538
Te -1.689 -1.079 3.988
Te 0.306 2.874 3.409
Te 2.275 -0.236 5.854
Te -1.664 5.984 0.963
Nd 1.134 -0.154 2.887
Nd 1.448 2.790 6.378
Nd -2.560 1.919 4.502
Nd -0.837 2.958 0.440
Nd -0.523 5.902 3.931
Nd 3.171 3.829 2.315

18
Lattice="-3.674 0.917 -2.260 1.466 -9.490 -1.930 -7.436 -3.331 10.733" Properties=species:S:1:pos:R:3 comment="Nd2ThAgTe5 | the Alexandria database | PBE | relaxed" formation_energy_uncorrected_mev_per_atom=-1099 e_tot_ev_per_atom=-5.045 sg="No. 36" dos_at_fermi_per_ev_atom=0.257 pbc="T T T"
Ag -3.722 -9.372 2.248
Ag -9.003 -3.913 8.744
Te -6.447 -9.735 2.229
Te -3.897 -0.516 1.823
Te -8.213 -5.787 6.700
Te -5.235 -7.454 5.486
Te -6.144 -11.567 5.295
Te -0.584 -0.999 0.543
Te -5.670 -3.733 3.400
Te -2.746 -6.707 1.742
Te -3.298 -3.954 -0.545
Te -0.280 -6.516 -2.188
Nd -2.349 -3.288 2.484
Nd -8.087 -8.972 5.203
Nd -5.196 -4.311 6.696
Nd -3.519 -7.178 -1.492
Th -5.849 -6.751 2.467
Th -0.213 -3.549 -1.093

18
Lattice="-3.591 1.933 -1.603 -2.208 -1.314 9.355 5.124 11.911 2.883" Properties=species:S:1:pos:R:3 comment="Nd2TmAgTe5 | the Alexandria database | PBE | relaxed" formation_energy_uncorrected_mev_per_atom=-1174 e_tot_ev_per_atom=-4.792 sg="No. 36" dos_at_fermi_per_ev_atom=0.009 pbc="T T T"
Nd -0.670 10.289 7.920
Nd 0.553 3.540 3.029
Nd 2.631 8.105 3.879
Nd -3.953 2.923 6.393
Te 0.955 10.859 4.965
Te -2.497 7.522 8.677
Te 1.125 7.735 6.809
Te 0.049 0.888 0.961
Te -2.660 2.796 3.343
Te -0.689 3.861 6.200
Te -0.399 6.809 3.117
Te 0.001 8.936 10.778
Te 2.276 11.652 8.954
Te -0.375 4.293 0.027
Tm -1.491 -0.026 3.310
Tm -1.654 6.815 5.936
Ag 2.568 12.354 3.154
Ag -1.090 5.181 8.692

18
Lattice="-0.607 -3.476 -2.621 8.320 3.812 -3.299 6.860 -7.611 8.506" Properties=species:S:1:pos:R:3 comment="Nd2YAgTe5 | the Alexandria database | PBE | relaxed" formation_energy_uncorrected_mev_per_atom=-1189 e_tot_ev_per_atom=-5.029 sg="No. 36" dos_at_fermi_per_ev_atom=0.011 pbc="T T T"
Y 8.121 -4.335 0.181
Y 3.143 0.730 -1.697
Te 4.283 -2.132 -1.851
Te 8.572 -7.331 4.052
Te 10.988 -4.232 -0.620
Te 1.633 -3.855 1.049
Te 13.337 -3.860 2.029
Te 12.573 -6.124 5.209
Te 7.244 -1.322 0.075
Te 9.170 -3.901 3.049
Te 1.211 -0.409 0.262
Te 5.417 -4.942 1.613
Nd 7.214 -1.544 -3.310
Nd 6.489 -4.765 4.817
Nd 4.104 -1.799 1.435
Nd 11.221 -6.310 2.083
Ag 10.077 -1.710 -0.067
Ag 7.377 -8.762 6.226

4
Lattice="-0.397 -1.485 -3.251 -2.398 -4.634 2.410 -5.184 2.434 -0.479" Properties=species:S:1:pos:R:3 comment="Nd2ThAg | the Alexandria database | PBE | relaxed" relative_energy_mev_per_atom=139.7 e_tot_ev_per_atom=-4.929 sg="No. 123" formation_energy_ev_per_atom=0.023 dos_at_fermi_per_ev_atom=1.247 pbc="T T T"
Ag -0.198 -0.743 -1.625
Nd -2.592 1.217 -0.240
Nd -1.199 -2.317 1.205
Th -3.990 -1.842 -0.660

10
Lattice="3.718 0.000 0.000 0.000 3.718 0.000 0.000 0.000 20.117" Properties=species:S:1:pos:R:3 comment="Nd5ThAg4 | the Alexandria database | PBE | relaxed" e_tot_ev_per_atom=-4.467 sg="No. 123" formation_energy_ev_per_atom=-0.200 dos_at_fermi_per_ev_atom=0.872 pbc="T T T"
Nd 1.859 1.859 2.401
Nd 1.859 1.859 13.893
Nd 1.859 1.859 6.224
Nd 1.859 1.859 17.717
Nd 1.859 1.859 10.059
Ag 0.000 0.000 8.139
Ag 0.000 0.000 11.978
Ag 0.000 0.000 15.771
Ag 0.000 0.000 4.346
Th 0.000 0.000 0.000

4
Lattice="3.606 -0.004 -0.002 1.799 3.125 -0.002 1.796 1.037 10.890" Properties=species:S:1:pos:R:3 comment="Nd2ThAg | the Alexandria database | PBE | relaxed" relative_energy_mev_per_atom=156.5 e_tot_ev_per_atom=-4.912 sg="No. 8" formation_energy_ev_per_atom=0.040 dos_at_fermi_per_ev_atom=1.616 pbc="T T T"
Ag 5.400 3.118 10.886
Nd 1.797 1.037 2.446
Nd 1.791 1.034 8.436
Th 3.610 2.084 5.450

9
Lattice="3.488 0.000 0.000 0.000 7.275 -4.200 0.000 0.000 8.401" Properties=species:S:1:pos:R:3 comment="Nd2ThAg6 | the Alexandria database | PBE | relaxed" e_tot_ev_per_atom=-3.999 sg="No. 191" formation_energy_ev_per_atom=-0.214 dos_at_fermi_per_ev_atom=0.995 pbc="T T T"
Nd 0.000 2.425 4.200
Nd 3.488 4.850 0.000
Th 0.000 0.000 8.401
Ag 1.744 2.426 1.401
Ag 1.744 0.000 5.600
Ag 1.744 7.275 -1.399
Ag 1.744 4.849 2.800
Ag 1.744 4.849 5.601
Ag 1.744 2.426 -1.401